[1]
# Ac2Pm6Th | the Alexandria database | PBE | relaxed
data_Ac2Pm6Th
_space_group_name_H-M_alt 'P 1'
_space_group_IT_number 1
_space_group_name_Hall 'P 1'
_cell_length_a 3.7156
_cell_length_b 3.7156
_cell_length_c 27.6090
_cell_angle_alpha 90.00
_cell_angle_beta 90.00
_cell_angle_gamma 120.00
loop_
_atom_site_label
_atom_site_type_symbol
_atom_site_fract_x
_atom_site_fract_y
_atom_site_fract_z
Ac1 Ac 0.6667 0.3333 0.3282
Ac2 Ac 0.6667 0.3333 0.6718
Pm1 Pm 0.6667 0.3333 0.8946
Pm2 Pm 0.3333 0.6667 0.4386
Pm3 Pm 0.3333 0.6667 0.7879
Pm4 Pm 0.3333 0.6667 0.2121
Pm5 Pm 0.3333 0.6667 0.5614
Pm6 Pm 0.6667 0.3333 0.1054
Th1 Th 0.3333 0.6667 0.0000
# Spin magnetization ... 0.00 μB/f.u.
# DFT total energy ... -4.804 eV per atom
# Formation enthalpy at 0 K ... 0.10 eV per atom

=====

[2]
# CeGaNi5 | the Alexandria database | PBE | relaxed
data_CeGaNi5
_space_group_name_H-M_alt 'P 1'
_space_group_IT_number 1
_space_group_name_Hall 'P 1'
_cell_length_a 4.8531
_cell_length_b 7.9240
_cell_length_c 9.9963
_cell_angle_alpha 90.00
_cell_angle_beta 90.00
_cell_angle_gamma 90.00
loop_
_atom_site_label
_atom_site_type_symbol
_atom_site_fract_x
_atom_site_fract_y
_atom_site_fract_z
Ce1 Ce 0.2500 0.2474 0.9454
Ce2 Ce 0.7500 0.2526 0.4454
Ce3 Ce 0.2500 0.7474 0.5546
Ce4 Ce 0.7500 0.7526 0.0546
Ga1 Ga 0.2500 0.8544 0.8551
Ga2 Ga 0.7500 0.6456 0.3551
Ga3 Ga 0.2500 0.3544 0.6449
Ga4 Ga 0.7500 0.1456 0.1449
Ni1 Ni 0.2500 0.5952 0.0176
Ni2 Ni 0.7500 0.9048 0.5176
Ni3 Ni 0.2500 0.0952 0.4824
Ni4 Ni 0.7500 0.4048 0.9824
Ni5 Ni 0.7500 0.3150 0.7477
Ni6 Ni 0.2500 0.1850 0.2477
Ni7 Ni 0.7500 0.8150 0.7523
Ni8 Ni 0.2500 0.6850 0.2523
Ni9 Ni 0.2500 0.9428 0.0917
Ni10 Ni 0.7500 0.5572 0.5917
Ni11 Ni 0.2500 0.4428 0.4083
Ni12 Ni 0.7500 0.0572 0.9083
Ni13 Ni 0.9945 0.4346 0.1956
Ni14 Ni 0.0055 0.0654 0.6956
Ni15 Ni 0.5055 0.9346 0.3044
Ni16 Ni 0.4945 0.5654 0.8044
Ni17 Ni 0.0055 0.5654 0.8044
Ni18 Ni 0.9945 0.9346 0.3044
Ni19 Ni 0.4945 0.0654 0.6956
Ni20 Ni 0.5055 0.4346 0.1956
# Spin magnetization ... 0.00 μB/f.u.
# DFT total energy ... -5.805 eV per atom
# Formation enthalpy at 0 K ... -0.40 eV per atom